No. 1
Density functional theory data (PBE-GGA) for a relaxed Pr4As3P crystal.

total magnetic moment = 0.00 μB/f.u.
electronic total energy = -6.311 eV/atom
calculated density = 6.13 Mg/m³

a = 6.0555 Å, b = 6.0555 Å, c = 6.0555 Å
α = 90.00°, β = 90.00°, γ = 90.00°
With the nearest neighbours (Å) after each atom.
Space group Pm-3m (No. 221)
Inequivalent atoms, fractional coordinates:
Pr 0.0000 0.0000 0.0000 (multiplicity 1)  6 As 3.03
Pr 0.0000 0.5000 0.5000 (multiplicity 3)  2 P 3.03, 4 As 3.03
As 0.0000 0.0000 0.5000 (multiplicity 3)  6 Pr 3.03
P 0.5000 0.5000 0.5000 (multiplicity 1)  6 Pr 3.03



No. 2
Density functional theory data (PBE-GGA) for a relaxed Pr6As5P crystal.

total magnetic moment = 0.00 μB/f.u.
electronic total energy = -6.280 eV/atom
calculated density = 6.19 Mg/m³

a = 7.4351 Å, b = 12.8752 Å, c = 7.4334 Å
α = 90.00°, β = 109.47°, γ = 90.00°
With the nearest neighbours (Å) after each atom.
Space group C2/m (No. 12)
Inequivalent atoms, fractional coordinates:
Pr 0.2467 0.0000 0.2521 (multiplicity 4)  1 P 3.00, 5 As 3.04-3.07
Pr 0.2473 0.1647 0.7478 (multiplicity 8)  1 P 3.00, 5 As 3.03-3.06
As 0.0000 0.1676 0.0000 (multiplicity 4)  6 Pr 3.03-3.06
As 0.0000 0.3334 0.5000 (multiplicity 4)  6 Pr 3.04
As 0.0000 0.5000 0.0000 (multiplicity 2)  6 Pr 3.03-3.07
P 0.0000 0.0000 0.5000 (multiplicity 2)  6 Pr 3.00



No. 3
Density functional theory data (PBE-GGA) for a relaxed Pr8As3P4 crystal.

total magnetic moment = 1.41 μB/f.u.
electronic total energy = -6.318 eV/atom
calculated density = 5.71 Mg/m³

a = 11.9741 Å, b = 11.9777 Å, c = 8.4527 Å
α = 90.00°, β = 134.87°, γ = 90.00°
With the nearest neighbours (Å) after each atom.
Space group C2/m (No. 12)
Inequivalent atoms, fractional coordinates:
Pr 0.0000 0.2424 0.0000 (multiplicity 4)  3 P 2.90-2.99, 2 As 3.00
Pr 0.0000 0.2479 0.5000 (multiplicity 4)  3 P 2.97-3.00, 3 As 2.99-3.02
Pr 0.2395 0.0000 0.4841 (multiplicity 4)  2 P 2.90-2.96, 3 As 3.00-3.03
Pr 0.2402 0.0000 0.9949 (multiplicity 4)  4 P 2.91-3.00, 1 As 3.03
As 0.0000 0.5000 0.5000 (multiplicity 2)  6 Pr 3.02-3.03
As 0.2500 0.2500 0.5000 (multiplicity 4)  6 Pr 2.99-3.00
P 0.0000 0.0000 0.0000 (multiplicity 2)  6 Pr 2.90-2.91
P 0.0000 0.0000 0.5000 (multiplicity 2)  6 Pr 2.96-2.97
P 0.2500 0.2500 0.0000 (multiplicity 4)  6 Pr 2.99-3.00



No. 4
Density functional theory data (PBE-GGA) for a relaxed Pr5As2P2 crystal.

total magnetic moment = 0.00 μB/f.u.
electronic total energy = -6.152 eV/atom
calculated density = 6.41 Mg/m³

a = 15.0482 Å, b = 7.8873 Å, c = 8.0016 Å
α = 90.00°, β = 90.00°, γ = 90.00°
With the nearest neighbours (Å) after each atom.
Space group Cmce (No. 64)
Inequivalent atoms, fractional coordinates:
Pr 0.0000 0.0000 0.0000 (multiplicity 4)  2 As 3.00, 4 P 3.04-3.07
Pr 0.1343 0.1621 0.3417 (multiplicity 16)  3 P 2.99-3.15, 3 As 3.08-3.17
As 0.1994 0.0000 0.0000 (multiplicity 8)  7 Pr 3.00-3.17
P 0.0000 0.1440 0.6439 (multiplicity 8)  8 Pr 2.99-3.15, 1 P 3.23